[1]
Entry from Alexandria: a PBEsol-optimized structure of CrTcRh2 (SCAN).

## Properties
Energy of formation from the pure elements, meV per atom: -146
Electronic total energy, Ry per atom: -2.2338

Structure (CIF):
```
data_CrTcRh2
_space_group_name_H-M_alt 'P 1'
_space_group_IT_number 1
_cell_length_a 2.650
_cell_length_b 4.222
_cell_length_c 4.645
_cell_angle_alpha 90.00
_cell_angle_beta 90.00
_cell_angle_gamma 90.00
loop_
_space_group_symop_operation_xyz
'x,y,z'
loop_
_atom_site_label
_atom_site_type_symbol
_atom_site_fract_x
_atom_site_fract_y
_atom_site_fract_z
Cr1 Cr 0.000 0.000 0.000
Tc1 Tc 0.000 0.500 0.323
Rh1 Rh 0.500 0.000 0.491
Rh2 Rh 0.500 0.500 0.836
```



[2]
Entry from Alexandria: a PBEsol-optimized structure of Cr2TcRh (SCAN).

## Properties
Energy of formation from the pure elements, meV per atom: 21
Electronic total energy, Ry per atom: -1.9389

Structure (CIF):
```
data_Cr2TcRh
_space_group_name_H-M_alt 'P 1'
_space_group_IT_number 1
_cell_length_a 3.650
_cell_length_b 3.650
_cell_length_c 7.548
_cell_angle_alpha 90.00
_cell_angle_beta 90.00
_cell_angle_gamma 90.00
loop_
_space_group_symop_operation_xyz
'x,y,z'
loop_
_atom_site_label
_atom_site_type_symbol
_atom_site_fract_x
_atom_site_fract_y
_atom_site_fract_z
Cr1 Cr 0.000 0.000 0.000
Cr2 Cr 0.000 0.500 0.250
Cr3 Cr 0.500 0.000 0.750
Cr4 Cr 0.500 0.500 0.500
Tc1 Tc 0.000 0.500 0.750
Tc2 Tc 0.500 0.000 0.250
Rh1 Rh 0.000 0.000 0.500
Rh2 Rh 0.500 0.500 0.000
```



[3]
Entry from Alexandria: a PBEsol-optimized structure of CrTcRh2 (SCAN).

## Properties
Energy of formation from the pure elements, meV per atom: -161
Electronic total energy, Ry per atom: -2.2349

Structure (CIF):
```
data_CrTcRh2
_space_group_name_H-M_alt 'P 1'
_space_group_IT_number 1
_cell_length_a 3.723
_cell_length_b 3.723
_cell_length_c 3.772
_cell_angle_alpha 90.00
_cell_angle_beta 90.00
_cell_angle_gamma 90.00
loop_
_space_group_symop_operation_xyz
'x,y,z'
loop_
_atom_site_label
_atom_site_type_symbol
_atom_site_fract_x
_atom_site_fract_y
_atom_site_fract_z
Cr1 Cr 0.000 0.000 0.000
Tc1 Tc 0.500 0.500 0.000
Rh1 Rh 0.000 0.500 0.500
Rh2 Rh 0.500 0.000 0.500
```



[4]
Entry from Alexandria: a PBEsol-optimized structure of CrTcRh2 (SCAN).

## Properties
Energy of formation from the pure elements, meV per atom: -109
Electronic total energy, Ry per atom: -2.2311

Structure (CIF):
```
data_CrTcRh2
_space_group_name_H-M_alt 'P 1'
_space_group_IT_number 1
_cell_length_a 2.640
_cell_length_b 3.765
_cell_length_c 5.254
_cell_angle_alpha 90.00
_cell_angle_beta 90.00
_cell_angle_gamma 90.00
loop_
_space_group_symop_operation_xyz
'x,y,z'
loop_
_atom_site_label
_atom_site_type_symbol
_atom_site_fract_x
_atom_site_fract_y
_atom_site_fract_z
Cr1 Cr 0.000 0.000 0.000
Tc1 Tc 0.000 0.000 0.500
Rh1 Rh 0.500 0.500 0.246
Rh2 Rh 0.500 0.500 0.754
```



[5]
Entry from Alexandria: a PBEsol-optimized structure of CrTcRh2 (SCAN).

## Properties
Energy of formation from the pure elements, meV per atom: 28
Electronic total energy, Ry per atom: -2.2210

Structure (CIF):
```
data_CrTcRh2
_space_group_name_H-M_alt 'P 1'
_space_group_IT_number 1
_cell_length_a 2.643
_cell_length_b 2.643
_cell_length_c 25.995
_cell_angle_alpha 90.00
_cell_angle_beta 90.00
_cell_angle_gamma 120.00
loop_
_space_group_symop_operation_xyz
'x,y,z'
loop_
_atom_site_label
_atom_site_type_symbol
_atom_site_fract_x
_atom_site_fract_y
_atom_site_fract_z
Cr1 Cr 0.000 0.000 0.000
Cr2 Cr 0.333 0.667 0.667
Cr3 Cr 0.667 0.333 0.333
Tc1 Tc 0.000 0.000 0.249
Tc2 Tc 0.333 0.667 0.916
Tc3 Tc 0.667 0.333 0.583
Rh1 Rh 0.000 0.000 0.499
Rh2 Rh 0.000 0.000 0.744
Rh3 Rh 0.333 0.667 0.166
Rh4 Rh 0.333 0.667 0.411
Rh5 Rh 0.667 0.333 0.077
Rh6 Rh 0.667 0.333 0.833
```



[6]
Entry from Alexandria: a PBEsol-optimized structure of CrTcRh2 (SCAN).

## Properties
Energy of formation from the pure elements, meV per atom: 220
Electronic total energy, Ry per atom: -2.2069

Structure (CIF):
```
data_CrTcRh2
_space_group_name_H-M_alt 'P 1'
_space_group_IT_number 1
_cell_length_a 5.961
_cell_length_b 5.961
_cell_length_c 5.961
_cell_angle_alpha 90.00
_cell_angle_beta 90.00
_cell_angle_gamma 90.00
loop_
_space_group_symop_operation_xyz
'x,y,z'
loop_
_atom_site_label
_atom_site_type_symbol
_atom_site_fract_x
_atom_site_fract_y
_atom_site_fract_z
Cr1 Cr 0.000 0.000 0.000
Cr2 Cr 0.000 0.500 0.500
Cr3 Cr 0.500 0.000 0.500
Cr4 Cr 0.500 0.500 0.000
Tc1 Tc 0.250 0.250 0.250
Tc2 Tc 0.250 0.750 0.750
Tc3 Tc 0.750 0.250 0.750
Tc4 Tc 0.750 0.750 0.250
Rh1 Rh 0.000 0.000 0.500
Rh2 Rh 0.000 0.500 0.000
Rh3 Rh 0.250 0.250 0.750
Rh4 Rh 0.250 0.750 0.250
Rh5 Rh 0.500 0.000 0.000
Rh6 Rh 0.500 0.500 0.500
Rh7 Rh 0.750 0.250 0.250
Rh8 Rh 0.750 0.750 0.750
```



[7]
Entry from Alexandria: a PBEsol-optimized structure of CrTcRh2 (SCAN).

## Properties
Energy of formation from the pure elements, meV per atom: -118
Electronic total energy, Ry per atom: -2.2318

Structure (CIF):
```
data_CrTcRh2
_space_group_name_H-M_alt 'P 1'
_space_group_IT_number 1
_cell_length_a 5.267
_cell_length_b 7.528
_cell_length_c 2.640
_cell_angle_alpha 90.00
_cell_angle_beta 90.00
_cell_angle_gamma 90.00
loop_
_space_group_symop_operation_xyz
'x,y,z'
loop_
_atom_site_label
_atom_site_type_symbol
_atom_site_fract_x
_atom_site_fract_y
_atom_site_fract_z
Cr1 Cr 0.000 0.000 0.000
Cr2 Cr 0.500 0.500 0.000
Tc1 Tc 0.000 0.500 0.000
Tc2 Tc 0.500 0.000 0.000
Rh1 Rh 0.250 0.250 0.500
Rh2 Rh 0.250 0.750 0.500
Rh3 Rh 0.750 0.250 0.500
Rh4 Rh 0.750 0.750 0.500
```



[8]
Entry from Alexandria: a PBEsol-optimized structure of CrTcRh2 (SCAN).

## Properties
Energy of formation from the pure elements, meV per atom: -128
Electronic total energy, Ry per atom: -2.2325

Structure (CIF):
```
data_CrTcRh2
_space_group_name_H-M_alt 'P 1'
_space_group_IT_number 1
_cell_length_a 3.716
_cell_length_b 3.716
_cell_length_c 7.557
_cell_angle_alpha 90.00
_cell_angle_beta 90.00
_cell_angle_gamma 90.00
loop_
_space_group_symop_operation_xyz
'x,y,z'
loop_
_atom_site_label
_atom_site_type_symbol
_atom_site_fract_x
_atom_site_fract_y
_atom_site_fract_z
Cr1 Cr 0.000 0.000 0.000
Cr2 Cr 0.500 0.500 0.500
Tc1 Tc 0.000 0.000 0.500
Tc2 Tc 0.500 0.500 0.000
Rh1 Rh 0.000 0.500 0.250
Rh2 Rh 0.000 0.500 0.750
Rh3 Rh 0.500 0.000 0.250
Rh4 Rh 0.500 0.000 0.750
```



[9]
Entry from Alexandria: a PBEsol-optimized structure of Cr2TcRh (SCAN).

## Properties
Energy of formation from the pure elements, meV per atom: 115
Electronic total energy, Ry per atom: -1.9319

Structure (CIF):
```
data_Cr2TcRh
_space_group_name_H-M_alt 'P 1'
_space_group_IT_number 1
_cell_length_a 2.624
_cell_length_b 3.653
_cell_length_c 5.256
_cell_angle_alpha 90.00
_cell_angle_beta 90.00
_cell_angle_gamma 90.00
loop_
_space_group_symop_operation_xyz
'x,y,z'
loop_
_atom_site_label
_atom_site_type_symbol
_atom_site_fract_x
_atom_site_fract_y
_atom_site_fract_z
Cr1 Cr 0.000 0.000 0.000
Cr2 Cr 0.500 0.500 0.233
Tc1 Tc 0.500 0.500 0.765
Rh1 Rh 0.000 0.000 0.479
```



[10]
Entry from Alexandria: a PBEsol-optimized structure of CrTe3Rh (SCAN).

## Properties
E_form (uncorrected), eV/f.u.: 3.992
Electronic total energy, Ry per atom: -2.3507

Structure (CIF):
```
data_CrTe3Rh
_space_group_name_H-M_alt 'P 1'
_space_group_IT_number 1
_cell_length_a 4.946
_cell_length_b 4.946
_cell_length_c 4.946
_cell_angle_alpha 90.00
_cell_angle_beta 90.00
_cell_angle_gamma 90.00
loop_
_space_group_symop_operation_xyz
'x,y,z'
loop_
_atom_site_label
_atom_site_type_symbol
_atom_site_fract_x
_atom_site_fract_y
_atom_site_fract_z
Cr1 Cr 0.000 0.000 0.000
Te1 Te 0.000 0.000 0.500
Te2 Te 0.000 0.500 0.000
Te3 Te 0.500 0.000 0.000
Rh1 Rh 0.500 0.500 0.500
```



[11]
Entry from Alexandria: a PBEsol-optimized structure of Cr3TeRh (SCAN).

## Properties
E_form (uncorrected), eV/f.u.: 6.222
Electronic total energy, Ry per atom: -1.7633

Structure (CIF):
```
data_Cr3TeRh
_space_group_name_H-M_alt 'P 1'
_space_group_IT_number 1
_cell_length_a 4.906
_cell_length_b 4.906
_cell_length_c 4.906
_cell_angle_alpha 90.00
_cell_angle_beta 90.00
_cell_angle_gamma 90.00
loop_
_space_group_symop_operation_xyz
'x,y,z'
loop_
_atom_site_label
_atom_site_type_symbol
_atom_site_fract_x
_atom_site_fract_y
_atom_site_fract_z
Cr1 Cr 0.000 0.000 0.500
Cr2 Cr 0.000 0.500 0.000
Cr3 Cr 0.500 0.000 0.000
Te1 Te 0.000 0.000 0.000
Rh1 Rh 0.500 0.500 0.500
```



[12]
Entry from Alexandria: a PBEsol-optimized structure of TlCr2Rh (SCAN).

## Properties
Energy of formation from the pure elements, meV per atom: 466
Electronic total energy, Ry per atom: -2.5915

Structure (CIF):
```
data_TlCr2Rh
_space_group_name_H-M_alt 'P 1'
_space_group_IT_number 1
_cell_length_a 9.102
_cell_length_b 2.877
_cell_length_c 4.706
_cell_angle_alpha 90.00
_cell_angle_beta 101.88
_cell_angle_gamma 90.00
loop_
_space_group_symop_operation_xyz
'x,y,z'
loop_
_atom_site_label
_atom_site_type_symbol
_atom_site_fract_x
_atom_site_fract_y
_atom_site_fract_z
Tl1 Tl 0.000 0.000 0.000
Tl2 Tl 0.500 0.500 0.000
Cr1 Cr 0.240 0.000 0.667
Cr2 Cr 0.260 0.500 0.333
Cr3 Cr 0.740 0.500 0.667
Cr4 Cr 0.760 0.000 0.333
Rh1 Rh 0.000 0.500 0.500
Rh2 Rh 0.500 0.000 0.500
```



[13]
Entry from Alexandria: a PBEsol-optimized structure of TlCrRh (SCAN).

## Properties
Energy of formation from the pure elements, meV per atom: 213
Electronic total energy, Ry per atom: -3.0349

Structure (CIF):
```
data_TlCrRh
_space_group_name_H-M_alt 'P 1'
_space_group_IT_number 1
_cell_length_a 2.899
_cell_length_b 2.899
_cell_length_c 11.263
_cell_angle_alpha 90.00
_cell_angle_beta 90.00
_cell_angle_gamma 90.00
loop_
_space_group_symop_operation_xyz
'x,y,z'
loop_
_atom_site_label
_atom_site_type_symbol
_atom_site_fract_x
_atom_site_fract_y
_atom_site_fract_z
Tl1 Tl 0.000 0.000 0.000
Tl2 Tl 0.500 0.500 0.500
Cr1 Cr 0.000 0.000 0.683
Cr2 Cr 0.500 0.500 0.183
Rh1 Rh 0.000 0.000 0.310
Rh2 Rh 0.500 0.500 0.810
```



[14]
Entry from Alexandria: a PBEsol-optimized structure of TlCr2Rh (SCAN).

## Properties
Energy of formation from the pure elements, meV per atom: 223
Electronic total energy, Ry per atom: -2.6093

Structure (CIF):
```
data_TlCr2Rh
_space_group_name_H-M_alt 'P 1'
_space_group_IT_number 1
_cell_length_a 6.302
_cell_length_b 6.302
_cell_length_c 6.302
_cell_angle_alpha 90.00
_cell_angle_beta 90.00
_cell_angle_gamma 90.00
loop_
_space_group_symop_operation_xyz
'x,y,z'
loop_
_atom_site_label
_atom_site_type_symbol
_atom_site_fract_x
_atom_site_fract_y
_atom_site_fract_z
Tl1 Tl 0.000 0.000 0.000
Tl2 Tl 0.000 0.500 0.500
Tl3 Tl 0.500 0.000 0.500
Tl4 Tl 0.500 0.500 0.000
Cr1 Cr 0.250 0.250 0.250
Cr2 Cr 0.250 0.250 0.750
Cr3 Cr 0.250 0.750 0.250
Cr4 Cr 0.250 0.750 0.750
Cr5 Cr 0.750 0.250 0.250
Cr6 Cr 0.750 0.250 0.750
Cr7 Cr 0.750 0.750 0.250
Cr8 Cr 0.750 0.750 0.750
Rh1 Rh 0.000 0.000 0.500
Rh2 Rh 0.000 0.500 0.000
Rh3 Rh 0.500 0.000 0.000
Rh4 Rh 0.500 0.500 0.500
```



[15]
Entry from Alexandria: a PBEsol-optimized structure of TlCr3Rh (SCAN).

## Properties
Energy of formation from the pure elements, meV per atom: 848
Electronic total energy, Ry per atom: -2.3085

Structure (CIF):
```
data_TlCr3Rh
_space_group_name_H-M_alt 'P 1'
_space_group_IT_number 1
_cell_length_a 4.678
_cell_length_b 4.678
_cell_length_c 4.678
_cell_angle_alpha 90.00
_cell_angle_beta 90.00
_cell_angle_gamma 90.00
loop_
_space_group_symop_operation_xyz
'x,y,z'
loop_
_atom_site_label
_atom_site_type_symbol
_atom_site_fract_x
_atom_site_fract_y
_atom_site_fract_z
Tl1 Tl 0.000 0.000 0.000
Cr1 Cr 0.000 0.500 0.500
Cr2 Cr 0.500 0.000 0.500
Cr3 Cr 0.500 0.500 0.000
Rh1 Rh 0.500 0.500 0.500
```



[16]
Entry from Alexandria: a PBEsol-optimized structure of TlCrRh2 (SCAN).

## Properties
Energy of formation from the pure elements, meV per atom: -18
Electronic total energy, Ry per atom: -2.9098

Structure (CIF):
```
data_TlCrRh2
_space_group_name_H-M_alt 'P 1'
_space_group_IT_number 1
_cell_length_a 2.911
_cell_length_b 2.911
_cell_length_c 7.143
_cell_angle_alpha 90.00
_cell_angle_beta 90.00
_cell_angle_gamma 90.00
loop_
_space_group_symop_operation_xyz
'x,y,z'
loop_
_atom_site_label
_atom_site_type_symbol
_atom_site_fract_x
_atom_site_fract_y
_atom_site_fract_z
Tl1 Tl 0.000 0.000 0.000
Cr1 Cr 0.000 0.000 0.500
Rh1 Rh 0.500 0.500 0.288
Rh2 Rh 0.500 0.500 0.712
```